No. 1
Computed, not measured: crystalline CaNi2W at its relaxed geometry at the GGA-PBE level of DFT.

```
CaNi2W
1.0
3.085 -0.009 0.000
0.008 3.085 0.000
0.000 0.000 6.921
Ca Ni W
1 2 1
direct
0.500 0.500 0.750 Ca
0.000 0.000 0.058 Ni
0.000 0.000 0.442 Ni
0.500 0.500 0.250 W
```

The calculation puts the magnetization at 0.36 μB/cell. For the distance to the lowest polymorph of the same formula, the calculation gives 0 meV per atom. Its space group is P4/mmm. The calculation puts the energy relative to the elements at 0.16 eV per atom.

No. 2
Computed, not measured: crystalline Ac8Ir3PdAu3 at its relaxed geometry at the GGA-PBE level of DFT.

```
Ac8Ir3PdAu3
1.0
-8.035 -1.604 -3.200
6.807 -4.975 -2.507
-3.172 -0.770 8.352
Au Ac Ir Pd
3 8 3 1
direct
0.500 0.500 0.000 Au
0.000 0.000 0.000 Au
0.000 0.500 0.000 Au
0.259 0.518 0.278 Ac
0.243 0.486 0.723 Ac
0.264 0.021 0.277 Ac
0.741 0.482 0.722 Ac
0.736 0.979 0.723 Ac
0.757 0.514 0.277 Ac
0.243 0.979 0.723 Ac
0.757 0.021 0.277 Ac
0.500 0.500 0.500 Ir
0.000 0.500 0.500 Ir
0.500 0.000 0.500 Ir
0.000 0.000 0.500 Pd
```

The calculation puts the magnetization at 0.00 μB/cell. Its space group is R-3m. The calculation puts the energy relative to the elements at -0.74 eV per atom.

No. 3
Computed, not measured: crystalline ReNi2Se at its relaxed geometry at the GGA-PBE level of DFT.

```
ReNi2Se
1.0
-1.587 3.622 2.420
0.259 -3.963 2.392
2.560 0.620 0.752
Ni Re Se
2 1 1
direct
0.500 0.500 0.000 Ni
0.000 0.000 0.000 Ni
0.500 0.000 0.500 Re
0.000 0.500 0.500 Se
```

The calculation puts the uncorrected formation energy at 1.4 eV/f.u. The calculation puts the magnetization at 0.00 μB/cell. Its space group is Cmmm.

No. 4
Computed, not measured: crystalline ReSi3Hg at its relaxed geometry at the GGA-PBE level of DFT.

```
ReSi3Hg
1.0
4.744 0.000 0.000
0.000 4.744 0.000
0.000 0.000 4.744
Si Re Hg
3 1 1
direct
0.000 0.000 0.500 Si
0.000 0.500 0.000 Si
0.500 0.000 0.000 Si
0.000 0.000 0.000 Re
0.500 0.500 0.500 Hg
```

The calculation puts the uncorrected formation energy at 1.9 eV/f.u. The calculation puts the magnetization at 0.00 μB/cell. For the distance to the lowest polymorph of the same formula, the calculation gives 0 meV per atom. Its space group is Pm-3m.

No. 5
Computed, not measured: crystalline MnRhS4 at its relaxed geometry at the GGA-PBE level of DFT.

```
MnRhS4
1.0
4.058 0.000 -2.119
-1.107 3.904 -2.119
0.783 1.036 6.445
Rh S Mn
1 4 1
direct
0.750 0.250 0.500 Rh
0.544 0.044 0.087 S
0.698 0.698 0.396 S
0.302 0.302 0.604 S
0.956 0.456 0.913 S
0.500 0.500 0.000 Mn
```

The calculation puts the uncorrected formation energy at -1.1 eV/f.u. The calculation puts the magnetization at 2.45 μB/cell. For the distance to the lowest polymorph of the same formula, the calculation gives 320 meV per atom. Its space group is I-4m2.

No. 6
Computed, not measured: crystalline MnCuMo2 at its relaxed geometry at the GGA-PBE level of DFT.

```
MnCuMo2
1.0
-0.996 4.241 -0.326
-0.606 0.053 2.545
4.513 1.183 1.598
Mn Mo Cu
1 2 1
direct
0.500 0.664 0.763 Mn
0.500 0.214 0.269 Mo
0.000 0.014 0.977 Mo
0.000 0.607 0.491 Cu
```

The calculation puts the magnetization at 2.15 μB/cell. For the distance to the lowest polymorph of the same formula, the calculation gives 3 meV per atom. Its space group is Pm. The calculation puts the energy relative to the elements at 0.19 eV per atom.

No. 7
Computed, not measured: crystalline Li4HoSi4 at its relaxed geometry at the GGA-PBE level of DFT.

```
Li4HoSi4
1.0
5.915 0.000 0.000
0.000 5.915 0.000
0.000 0.000 8.508
Si Li Ho
8 8 2
direct
0.700 0.000 0.288 Si
0.300 0.000 0.288 Si
0.000 0.700 0.712 Si
0.000 0.300 0.712 Si
0.500 0.200 0.788 Si
0.800 0.500 0.212 Si
0.500 0.800 0.788 Si
0.200 0.500 0.212 Si
0.243 0.500 0.912 Li
0.000 0.257 0.412 Li
0.757 0.500 0.912 Li
0.500 0.243 0.088 Li
0.257 0.000 0.588 Li
0.000 0.743 0.412 Li
0.500 0.757 0.088 Li
0.743 0.000 0.588 Li
0.000 0.000 0.000 Ho
0.500 0.500 0.500 Ho
```

The calculation puts the uncorrected formation energy at -1.7 eV/f.u. The calculation puts the magnetization at 0.00 μB/cell. Its space group is P4_2/nmc.

No. 8
Computed, not measured: crystalline Sc2ReRu at its relaxed geometry at the GGA-PBE level of DFT.

```
Sc2ReRu
1.0
-0.155 -2.386 3.576
0.792 -2.341 -1.528
5.381 0.553 0.601
Re Ru Sc
1 1 2
direct
0.500 0.250 0.250 Re
0.500 0.750 0.750 Ru
0.000 0.515 0.502 Sc
0.000 0.985 0.998 Sc
```

The calculation puts the magnetization at 0.00 μB/cell. Its space group is P2/m. The calculation puts the energy relative to the elements at -0.09 eV per atom.

No. 9
Computed, not measured: crystalline AcTe2I8 at its relaxed geometry at the GGA-PBE level of DFT.

```
AcTe2I8
1.0
8.640 1.376 1.044
1.824 8.786 1.008
1.824 3.336 8.190
I Ac Te
8 1 2
direct
0.321 0.778 0.778 I
0.769 0.192 0.718 I
0.838 0.691 0.691 I
0.679 0.222 0.222 I
0.231 0.808 0.282 I
0.231 0.282 0.808 I
0.162 0.309 0.309 I
0.769 0.718 0.192 I
0.000 0.000 0.000 Ac
0.560 0.856 0.856 Te
0.440 0.144 0.144 Te
```

The calculation puts the uncorrected formation energy at -5.1 eV/f.u. The calculation puts the magnetization at 0.00 μB/cell. Its space group is C2/m.

No. 10
Computed, not measured: crystalline GaC at its relaxed geometry at the GGA-PBE level of DFT.

```
GaC
1.0
-4.714 -7.394 0.105
1.566 -1.119 -8.555
2.828 -1.792 0.752
C Ga
8 8
direct
0.441 0.052 0.000 C
0.052 0.559 0.000 C
0.330 0.749 0.500 C
0.948 0.441 0.000 C
0.670 0.251 0.500 C
0.251 0.330 0.500 C
0.559 0.948 0.000 C
0.749 0.670 0.500 C
0.436 0.206 0.500 Ga
0.206 0.564 0.500 Ga
0.853 0.699 0.000 Ga
0.301 0.853 0.000 Ga
0.564 0.794 0.500 Ga
0.794 0.436 0.500 Ga
0.699 0.147 0.000 Ga
0.147 0.301 0.000 Ga
```

The calculation puts the magnetization at 0.00 μB/cell. For the distance to the lowest polymorph of the same formula, the calculation gives 547 meV per atom. Its space group is P4/m. The calculation puts the energy relative to the elements at 0.79 eV per atom.

No. 11
Computed, not measured: crystalline NbIn3Fe at its relaxed geometry at the GGA-PBE level of DFT.

```
NbIn3Fe
1.0
4.816 0.000 0.000
0.000 4.816 0.000
0.000 0.000 4.816
Nb Fe In
1 1 3
direct
0.500 0.500 0.500 Nb
0.000 0.000 0.000 Fe
0.000 0.500 0.000 In
0.500 0.000 0.000 In
0.000 0.000 0.500 In
```

The calculation puts the magnetization at 0.00 μB/cell. Its space group is Pm-3m. The calculation puts the energy relative to the elements at 0.88 eV per atom.

No. 12
Computed, not measured: crystalline SmY2TaO8 at its relaxed geometry at the GGA-PBE level of DFT.

```
SmY2TaO8
1.0
-1.209 4.929 -0.324
-4.485 -0.999 2.210
2.845 1.110 6.276
O Y Sm Ta
8 2 1 1
direct
0.280 0.280 0.000 O
0.185 0.814 0.786 O
0.815 0.186 0.786 O
0.314 0.313 0.500 O
0.686 0.687 0.500 O
0.815 0.186 0.214 O
0.185 0.814 0.214 O
0.720 0.720 0.000 O
0.500 0.500 0.245 Y
0.500 0.500 0.755 Y
0.000 0.000 0.500 Sm
0.000 0.000 0.000 Ta
```

The calculation puts the uncorrected formation energy at -34.4 eV/f.u. The calculation puts the magnetization at 2.05 μB/cell. Its space group is P2/m.

No. 13
Computed, not measured: crystalline LiMgRe at its relaxed geometry at the GGA-PBE level of DFT.

```
LiMgRe
1.0
-0.979 -3.857 -1.869
4.045 0.721 1.564
-1.609 -2.071 5.116
Li Mg Re
2 2 2
direct
0.333 0.667 0.866 Li
0.667 0.333 0.027 Li
0.000 0.000 0.709 Mg
0.667 0.333 0.482 Mg
0.000 0.000 0.220 Re
0.333 0.667 0.319 Re
```

The calculation puts the magnetization at 0.00 μB/cell. For the distance to the lowest polymorph of the same formula, the calculation gives 98 meV per atom. Its space group is P3m1. The calculation puts the energy relative to the elements at 0.15 eV per atom.

No. 14
Computed, not measured: crystalline La2ScVRe at its relaxed geometry at the GGA-PBE level of DFT.

```
La2ScVRe
1.0
5.467 0.000 0.000
0.000 5.152 0.000
0.000 0.000 5.467
Re La Sc V
1 2 1 1
direct
0.000 0.000 0.000 Re
0.500 0.000 0.000 La
0.000 0.000 0.500 La
0.000 0.500 0.000 Sc
0.500 0.500 0.500 V
```

The calculation puts the magnetization at 3.97 μB/cell. Its space group is P4/mmm. The calculation puts the energy relative to the elements at 0.64 eV per atom.

No. 15
Computed, not measured: crystalline In at its relaxed geometry at the GGA-PBE level of DFT.

```
In
1.0
-2.712 5.281 -1.242
-4.549 -1.457 3.739
2.957 2.603 4.612
In
8
direct
0.156 0.344 0.656 In
0.844 0.656 0.344 In
0.656 0.156 0.344 In
0.156 0.156 0.156 In
0.344 0.656 0.156 In
0.344 0.844 0.656 In
0.844 0.844 0.844 In
0.656 0.344 0.844 In
```

The calculation puts the magnetization at 0.00 μB/cell. For the distance to the lowest polymorph of the same formula, the calculation gives 44 meV per atom. Its space group is Pa-3. The calculation puts the energy relative to the elements at 0.04 eV per atom.

No. 16
Computed, not measured: crystalline RbNa2V2 at its relaxed geometry at the GGA-PBE level of DFT.

```
RbNa2V2
1.0
-0.657 -3.319 -0.333
2.962 -0.424 -1.614
7.234 -4.261 10.815
V Na Rb
2 2 1
direct
0.250 0.750 0.500 V
0.750 0.250 0.500 V
0.355 0.355 0.290 Na
0.645 0.645 0.710 Na
0.000 0.000 0.000 Rb
```

The calculation puts the magnetization at 0.00 μB/cell. For the distance to the lowest polymorph of the same formula, the calculation gives 0 meV per atom. Its space group is I4/mmm. The calculation puts the energy relative to the elements at 0.72 eV per atom.

No. 17
Computed, not measured: crystalline CaEr5Ag4 at its relaxed geometry at the GGA-PBE level of DFT.

```
CaEr5Ag4
1.0
3.611 0.000 0.000
0.000 3.611 0.000
0.000 0.000 19.890
Ag Er Ca
4 5 1
direct
0.000 0.000 0.226 Ag
0.000 0.000 0.411 Ag
0.000 0.000 0.774 Ag
0.000 0.000 0.589 Ag
0.500 0.500 0.860 Er
0.500 0.500 0.681 Er
0.500 0.500 0.319 Er
0.500 0.500 0.140 Er
0.500 0.500 0.500 Er
0.000 0.000 0.000 Ca
```

The calculation puts the magnetization at 0.00 μB/cell. Its space group is P4/mmm. The calculation puts the energy relative to the elements at -0.22 eV per atom.

No. 18
Computed, not measured: crystalline PuTaC at its relaxed geometry at the GGA-PBE level of DFT.

```
PuTaC
1.0
-0.506 2.753 -1.240
-2.958 -0.200 0.762
2.870 1.219 5.314
Pu C Ta
1 1 1
direct
0.983 0.983 0.966 Pu
0.752 0.752 0.505 C
0.265 0.265 0.529 Ta
```

The calculation puts the magnetization at 6.05 μB/cell. For the distance to the lowest polymorph of the same formula, the calculation gives 0 meV per atom. Its space group is I4mm. The calculation puts the energy relative to the elements at 0.11 eV per atom.

No. 19
Computed, not measured: crystalline Li2TeAu at its relaxed geometry at the GGA-PBE level of DFT.

```
Li2TeAu
1.0
-2.038 2.570 1.336
-1.047 -2.177 2.589
4.885 1.981 3.641
Li Au Te
2 1 1
direct
0.500 0.500 0.238 Li
0.000 0.000 0.966 Li
0.500 0.500 0.835 Au
0.000 0.000 0.460 Te
```

The calculation puts the uncorrected formation energy at -1.7 eV/f.u. The calculation puts the magnetization at 0.00 μB/cell. For the distance to the lowest polymorph of the same formula, the calculation gives 164 meV per atom. Its space group is P4mm.

No. 20
Computed, not measured: crystalline BaAg2P at its relaxed geometry at the GGA-PBE level of DFT.

```
BaAg2P
1.0
3.349 0.000 0.000
0.000 3.935 0.000
0.000 0.000 7.273
Ag Ba P
2 1 1
direct
0.500 0.500 0.178 Ag
0.000 0.000 0.986 Ag
0.000 0.000 0.523 Ba
0.500 0.500 0.813 P
```

The calculation puts the magnetization at 0.00 μB/cell. Its space group is Pmm2. The calculation puts the energy relative to the elements at -0.03 eV per atom.

No. 21
Computed, not measured: crystalline TbTm2TcN4 at its relaxed geometry at the GGA-PBE level of DFT.

```
TbTm2TcN4
1.0
3.386 0.000 0.000
-1.693 5.739 0.000
0.000 0.000 11.438
Tb N Tc Tm
2 8 2 4
direct
0.869 0.737 0.250 Tb
0.131 0.263 0.750 Tb
0.452 0.905 0.750 N
0.263 0.526 0.372 N
0.263 0.526 0.128 N
0.737 0.474 0.628 N
0.000 0.000 0.000 N
0.000 0.000 0.500 N
0.548 0.095 0.250 N
0.737 0.474 0.872 N
0.867 0.734 0.750 Tc
0.133 0.266 0.250 Tc
0.631 0.263 0.039 Tm
0.369 0.737 0.539 Tm
0.369 0.737 0.961 Tm
0.631 0.263 0.461 Tm
```

The calculation puts the uncorrected formation energy at -9.2 eV/f.u. The calculation puts the magnetization at 0.00 μB/cell. Its space group is Cmcm.

No. 22
Computed, not measured: crystalline Mn2ReI at its relaxed geometry at the GGA-PBE level of DFT.

```
Mn2ReI
1.0
5.532 0.000 0.000
0.000 5.532 0.000
2.766 2.766 5.516
Mn I Re
4 2 2
direct
0.659 0.125 0.250 Mn
0.091 0.625 0.250 Mn
0.375 0.341 0.750 Mn
0.875 0.909 0.750 Mn
0.500 0.500 0.000 I
0.250 0.750 0.500 I
0.750 0.250 0.500 Re
0.000 0.000 0.000 Re
```

The calculation puts the uncorrected formation energy at 5.0 eV/f.u. The calculation puts the magnetization at 0.00 μB/cell. For the distance to the lowest polymorph of the same formula, the calculation gives 68 meV per atom. Its space group is I-42d.

No. 23
Computed, not measured: crystalline Ac6ZnIr3 at its relaxed geometry at the GGA-PBE level of DFT.

```
Ac6ZnIr3
1.0
4.440 0.000 0.000
0.000 12.357 -4.155
0.000 -0.648 12.723
Ac Zn Ir
12 2 6
direct
0.750 0.775 0.752 Ac
0.250 0.605 0.940 Ac
0.750 0.719 0.257 Ac
0.250 0.559 0.400 Ac
0.750 0.441 0.600 Ac
0.750 0.395 0.060 Ac
0.750 0.117 0.456 Ac
0.250 0.883 0.544 Ac
0.250 0.225 0.248 Ac
0.250 0.281 0.743 Ac
0.250 0.068 0.915 Ac
0.750 0.932 0.085 Ac
0.250 0.939 0.292 Zn
0.750 0.061 0.708 Zn
0.750 0.162 0.083 Ir
0.250 0.838 0.917 Ir
0.250 0.558 0.165 Ir
0.750 0.718 0.495 Ir
0.750 0.442 0.835 Ir
0.250 0.282 0.505 Ir
```

The calculation puts the magnetization at 0.00 μB/cell. Its space group is P2_1/m. The calculation puts the energy relative to the elements at -0.53 eV per atom.

No. 24
Computed, not measured: crystalline RuPt2Cl at its relaxed geometry at the GGA-PBE level of DFT.

```
RuPt2Cl
1.0
-0.171 -3.306 3.756
4.431 0.383 -2.301
0.756 1.990 1.786
Pt Ru Cl
2 1 1
direct
0.500 0.500 0.000 Pt
0.000 0.000 0.000 Pt
0.500 0.000 0.500 Ru
0.000 0.500 0.500 Cl
```

The calculation puts the uncorrected formation energy at 2.8 eV/f.u. The calculation puts the magnetization at 0.08 μB/cell. For the distance to the lowest polymorph of the same formula, the calculation gives 461 meV per atom. Its space group is Cmmm.